## CaCuAs2S4 (PBE)

Data for crystalline CaCuAs2S4 at its relaxed geometry.

Summary:
The calculation puts the total moment at 0.0 μB/f.u. For the formation energy without anion corrections, the calculation gives -486.9 meV per atom.

Cell: 6.3969 5.6787 6.5337 Å, 62.72 52.09 65.20°
Element x y z (fractional)
Ca  0.0000  0.0000  0.0000
Cu  0.5673  0.5673  0.4327
As  0.2725  0.2725  0.2275
As  0.7725  0.7725  0.7275
S  0.2207  0.6674  0.3326
S  0.5005  0.9617  0.4995
S  0.6674  0.2207  0.7793
S  0.9617  0.5005  0.0383